[1]
First-principles (GGA-PBE) data for crystalline Cs2HfBeSe4 at its relaxed geometry, as listed in Alexandria.

a = 5.9009 Å, b = 8.0531 Å, c = 13.5169 Å
α = 85.41°, β = 77.39°, γ = 68.51°
Closest atoms and distances in Å follow each position.
Element x y z (fractional)
Cs1 0.1771 0.0000 0.6459  8 Se 3.73-4.05
Hf1 0.0000 0.0000 0.0000  4 Se 2.50
Se1 0.2363 0.1803 0.8985  1 Be 2.32, 1 Hf 2.50
Se2 0.8848 0.6803 0.6015  1 Be 2.32, 1 Hf 2.50
Cs2 0.8229 0.0000 0.3541  8 Se 3.73-4.05
Se3 0.5835 0.1803 0.1015  1 Be 2.32, 1 Hf 2.50
Be1 0.2500 0.5000 0.5000  4 Se 2.32
Se4 0.4350 0.6803 0.3985  1 Be 2.32, 1 Hf 2.50
Se5 0.8652 0.8197 0.8985  1 Be 2.32, 1 Hf 2.50
Be2 0.5000 0.0000 0.0000  4 Se 2.32
Hf2 0.7500 0.5000 0.5000  4 Se 2.50
Se6 0.5137 0.3197 0.6015  1 Be 2.32, 1 Hf 2.50
Cs3 0.9271 0.5000 0.1459  8 Se 3.73-4.05
Se7 0.1665 0.3197 0.3985  1 Be 2.32, 1 Hf 2.50
Se8 0.3150 0.8197 0.1015  1 Be 2.32, 1 Hf 2.50
Cs4 0.5729 0.5000 0.8541  8 Se 3.73-4.05

## Properties
Energy relative to the elements, uncorrected (eV per atom): -1.229
E_tot (eV for the cell shown): -78.31
Symmetry: Fddd, No. 70
Volume (Å³ per atom): 36.5

=====

[2]
First-principles (GGA-PBE) data for crystalline NaLa2Pm at its relaxed geometry, as listed in Alexandria.

a = 3.7878 Å, b = 6.1344 Å, c = 6.1344 Å
α = 90.00°, β = 90.00°, γ = 90.00°
Closest atoms and distances in Å follow each position.
Element x y z (fractional)
Pm1 0.5000 0.5000 0.5000  8 La 3.60, 2 Pm 3.79
La1 0.0000 0.0000 0.5000  4 Pm 3.60, 4 Na 3.60, 2 La 3.79
La2 0.0000 0.5000 0.0000  4 Pm 3.60, 4 Na 3.60, 2 La 3.79
Na1 0.5000 0.0000 0.0000  8 La 3.60, 2 Na 3.79

## Properties
Energy above the most stable polymorph in this dataset (eV/f.u.): 0.332
E_tot (eV for the cell shown): -15.26
Symmetry: P4/mmm, No. 123
Volume (Å³ per atom): 35.6
Formation enthalpy at 0 K (meV per atom): 167

=====

[3]
First-principles (GGA-PBE) data for crystalline Co2ReCl2 at its relaxed geometry, as listed in Alexandria.

a = 7.0095 Å, b = 7.0095 Å, c = 2.8230 Å
α = 90.00°, β = 90.00°, γ = 90.00°
Closest atoms and distances in Å follow each position.
Element x y z (fractional)
Co1 0.3135 0.1865 0.5000  2 Cl 2.21
Co2 0.8135 0.3135 0.5000  2 Cl 2.21
Re1 0.0000 0.0000 0.0000  4 Cl 2.70, 2 Re 2.82, 8 Co 2.92
Co3 0.6865 0.8135 0.5000  2 Cl 2.21
Co4 0.1865 0.6865 0.5000  2 Cl 2.21
Re2 0.5000 0.5000 0.0000  4 Cl 2.70, 2 Re 2.82, 8 Co 2.92
Cl1 0.1421 0.3579 0.0000  2 Co 2.21
Cl2 0.3579 0.8579 0.0000  2 Co 2.21
Cl3 0.6421 0.1421 0.0000  2 Co 2.21
Cl4 0.8579 0.6421 0.0000  2 Co 2.21

## Properties
Energy above the most stable polymorph in this dataset (eV/f.u.): 0.000
Energy relative to the elements, uncorrected (eV per atom): 0.998
E_tot (eV for the cell shown): -50.73
Symmetry: P4/mbm, No. 127
Volume (Å³ per atom): 13.9